1.
VASP calculation (PBEsol) on crystalline Cs2YAuS at its relaxed geometry.

It has space group P4/mmm (No. 123), with a = 6.9718 Å, b = 6.9718 Å, c = 4.5447 Å, α = 90.00°, β = 90.00° and γ = 90.00°. The inequivalent atoms are Cs at (0.0000, 0.5000, 0.0000), Y at (0.0000, 0.0000, 0.5000), Au at (0.5000, 0.5000, 0.0000) and S at (0.5000, 0.5000, 0.5000).

As for the formation energy without anion corrections: 0.30 eV per atom.

=====

2.
VASP calculation (PBEsol) on crystalline SrTaTl at its relaxed geometry.

It has space group F-43m (No. 216), with a = 7.0319 Å, b = 7.0319 Å, c = 7.0319 Å, α = 90.00°, β = 90.00° and γ = 90.00°. The inequivalent atoms are Sr at (0.0000, 0.0000, 0.0000), Ta at (0.2500, 0.2500, 0.7500) and Tl at (0.0000, 0.0000, 0.5000).

The calculation puts the formation energy at 1.23 eV per atom.

=====

no.,ρ (kg/m³)
1,4388
2,9035